Entry 1:
The following is a PBE-GGA calculation of a relaxed structure of PuCu2Ni, from Alexandria.

Properties
- Density: 11.218 Mg/m³
- Spin magnetization: 10.41 μB/cell
- Crystal system: orthorhombic
- Uncorrected energy: -7.11 eV/atom

abc: 4.0943 5.0701 6.6975
angles: 90.00 90.00 113.76
With the nearest neighbours (Å) after each atom.
Element x y z (fractional)
1 Cu 0.6377 0.2763 0.0605  3 Ni 2.49-2.51, 2 Cu 2.54-2.69
2 Cu 0.6377 0.2763 0.4395  3 Ni 2.49-2.51, 2 Cu 2.54-2.69
3 Cu 0.3623 0.7237 0.9395  3 Ni 2.49-2.51, 2 Cu 2.54-2.69
4 Cu 0.3623 0.7237 0.5605  3 Ni 2.49-2.51, 2 Cu 2.54-2.69
5 Ni 0.2135 0.4287 0.2500  6 Cu 2.49-2.51, 1 Pu 2.65
6 Ni 0.7865 0.5713 0.7500  6 Cu 2.49-2.51, 1 Pu 2.65
7 Pu 0.9296 0.8585 0.2500  3 Ni 2.65-2.86
8 Pu 0.0704 0.1415 0.7500  3 Ni 2.65-2.86

---

Entry 2:
The following is a PBE-GGA calculation of a relaxed structure of Mg2InWN, from Alexandria.

Properties
- ΔE_f (raw): 1807 meV/atom
- Density: 5.080 Mg/m³
- Spin magnetization: 3.11 μB/cell
- Crystal system: tetragonal

abc: 5.5484 5.5484 3.8359
angles: 90.00 90.00 90.00
With the nearest neighbours (Å) after each atom.
Element x y z (fractional)
1 Mg 0.5000 0.0000 0.0000  2 In 2.77
2 Mg 0.0000 0.5000 0.0000  2 In 2.77
3 N 0.0000 0.0000 0.5000  2 In 1.92
4 W 0.5000 0.5000 0.5000  8 Mg 3.37
5 In 0.0000 0.0000 0.0000  2 N 1.92

---

Entry 3:
The following is a PBE-GGA calculation of a relaxed structure of TiSiAu2, from Alexandria.

Properties
- ΔE_f (raw): -64 meV/atom
- Density: 10.878 Mg/m³
- Spin magnetization: 0.00 μB/cell
- Crystal system: tetragonal

abc: 3.8182 3.8182 10.2037
angles: 79.22 79.22 90.00
With the nearest neighbours (Å) after each atom.
Element x y z (fractional)
1 Si 0.2500 0.7500 0.5000  4 Ti 2.70, 4 Au 2.80
2 Si 0.5000 0.5000 0.0000  4 Ti 2.70, 4 Au 2.80
3 Au 0.6218 0.1250 0.2500  4 Au 2.68-2.72, 2 Si 2.80, 2 Ti 2.81
4 Au 0.1282 0.6250 0.2500  4 Au 2.68-2.72, 2 Si 2.80, 2 Ti 2.81
5 Au 0.3750 0.3782 0.7500  4 Au 2.68-2.72, 2 Si 2.80, 2 Ti 2.81
6 Au 0.8750 0.8718 0.7500  4 Au 2.68-2.72, 2 Si 2.80, 2 Ti 2.81
7 Ti 0.7500 0.2500 0.5000  4 Si 2.70, 4 Au 2.81
8 Ti 0.0000 0.0000 0.0000  4 Si 2.70, 4 Au 2.81

---

Entry 4:
The following is a PBE-GGA calculation of a relaxed structure of AuN, from Alexandria.

Properties
- ΔE_f (raw): 1647 meV/atom
- Density: 9.501 Mg/m³
- Spin magnetization: 0.00 μB/cell
- Offset from the most stable computed form: 7.93 kcal/mol of atoms
- Crystal system: cubic

abc: 6.6568 6.6568 6.6568
angles: 90.00 90.00 90.00
With the nearest neighbours (Å) after each atom.
Element x y z (fractional)
1 Au 0.1859 0.1859 0.8141  1 N 1.96
2 Au 0.6859 0.6859 0.3141  1 N 1.96
3 Au 0.3141 0.6859 0.6859  1 N 1.96
4 Au 0.8141 0.8141 0.8141  1 N 1.96
5 Au 0.3141 0.3141 0.3141  1 N 1.96
6 Au 0.6859 0.3141 0.6859  1 N 1.96
7 Au 0.1859 0.8141 0.1859  1 N 1.96
8 Au 0.8141 0.1859 0.1859  1 N 1.96
9 N 0.3558 0.3558 0.6442  1 Au 1.96
10 N 0.6442 0.6442 0.6442  1 Au 1.96
11 N 0.6442 0.3558 0.3558  1 Au 1.96
12 N 0.1442 0.8558 0.8558  1 Au 1.96
13 N 0.8558 0.1442 0.8558  1 Au 1.96
14 N 0.3558 0.6442 0.3558  1 Au 1.96
15 N 0.8558 0.8558 0.1442  1 Au 1.96
16 N 0.1442 0.1442 0.1442  1 Au 1.96

---

Entry 5:
The following is a PBE-GGA calculation of a relaxed structure of ZrPb2Se, from Alexandria.

Properties
- ΔE_f (raw): 106 meV/atom
- Density: 9.381 Mg/m³
- Spin magnetization: 0.00 μB/cell
- Crystal system: trigonal

abc: 9.1540 9.1540 9.1540
angles: 23.08 23.08 23.08
With the nearest neighbours (Å) after each atom.
Element x y z (fractional)
1 Pb 0.9950 0.9950 0.9950  3 Se 2.98, 3 Zr 3.17
2 Pb 0.5050 0.5050 0.5050  3 Se 2.98, 3 Zr 3.17
3 Zr 0.7500 0.7500 0.7500  6 Pb 3.17
4 Se 0.2500 0.2500 0.2500  6 Pb 2.98

---

Entry 6:
The following is a PBE-GGA calculation of a relaxed structure of K2InSb, from Alexandria.

Properties
- ΔE_f (raw): -42 meV/atom
- Density: 3.643 Mg/m³
- Spin magnetization: 0.00 μB/cell
- Offset from the most stable computed form: 6.57 kcal/mol of atoms
- Crystal system: monoclinic

abc: 6.1346 6.1346 6.8880
angles: 83.11 83.11 33.91
With the nearest neighbours (Å) after each atom.
Element x y z (fractional)
1 In 0.2500 0.2500 0.2500  2 In 3.58, 6 K 3.59-3.78, 4 Sb 3.88
2 K 0.4933 0.4933 0.5178  3 Sb 3.57-3.58, 4 K 3.58-3.68, 3 In 3.59-3.78
3 K 0.0067 0.0067 0.9822  3 Sb 3.57-3.58, 4 K 3.58-3.68, 3 In 3.59-3.78
4 Sb 0.7500 0.7500 0.7500  6 K 3.57-3.58, 2 Sb 3.58, 4 In 3.88